# 1
A plane-wave DFT calculation with PBE-GGA was carried out for an optimized crystal structure of CaCdHg2.

DFT total energy ... -4.70 eV/cell
Energy of formation from the pure elements ... -0.294 eV/atom

Lattice parameters (Å, degrees): 5.199 5.199 5.199 60.00 60.00 60.00
Sites, in units of the cell vectors:
Hg (0.000, 0.000, 0.000)
Hg (0.250, 0.250, 0.250)
Cd (0.750, 0.750, 0.750)
Ca (0.500, 0.500, 0.500)


# 2
A plane-wave DFT calculation with PBE-GGA was carried out for an optimized crystal structure of KGa2H.

DFT total energy ... -20.58 eV/cell

Lattice parameters (Å, degrees): 3.716 3.716 11.340 90.00 90.00 90.00
Sites, in units of the cell vectors:
Ga (0.250, 0.750, 0.549)
Ga (0.250, 0.750, 0.951)
Ga (0.750, 0.250, 0.451)
Ga (0.750, 0.250, 0.049)
K (0.250, 0.750, 0.250)
K (0.750, 0.250, 0.750)
H (0.750, 0.250, 0.250)
H (0.250, 0.750, 0.750)


Which value of DFT total energy does entry 1 give?
-4.70 eV/cell


Among the records above, which one has the highest DFT total energy?
CaCdHg2


Repeat the first record exactly.
A plane-wave DFT calculation with PBE-GGA was carried out for an optimized crystal structure of CaCdHg2.

DFT total energy ... -4.70 eV/cell
Energy of formation from the pure elements ... -0.294 eV/atom

Lattice parameters (Å, degrees): 5.199 5.199 5.199 60.00 60.00 60.00
Sites, in units of the cell vectors:
Hg (0.000, 0.000, 0.000)
Hg (0.250, 0.250, 0.250)
Cd (0.750, 0.750, 0.750)
Ca (0.500, 0.500, 0.500)